[1]
## CsRbLaZnS (PBE)

Data for crystalline CsRbLaZnS at its relaxed geometry.

The structure belongs to space group Cm (No. 8); the cell edges are 7.542, 4.356 and 13.452 Å and the angles 90.00°, 99.34° and 90.00°. The asymmetric unit holds Cs at (0.000, 0.000, 0.000), Rb at (0.316, 0.500, 0.363), La at (0.083, 0.500, 0.709), Zn at (0.206, 0.000, 0.559) and S at (0.282, 0.000, 0.823).

As for the crystal system: monoclinic. The electronic total energy comes out at -30.252 eV for the cell shown.

[2]
## CsRbLaZnS (PBE)

Data for crystalline CsRbLaZnS at its relaxed geometry.

The structure belongs to space group P1 (No. 1); the cell edges are 4.404, 4.405 and 13.322 Å and the angles 83.34°, 84.64° and 60.08°. The asymmetric unit holds Cs at (0.000, 0.000, 0.000), Rb at (0.424, 0.512, 0.367), La at (0.708, 0.748, 0.712), Zn at (0.061, 0.122, 0.569) and S at (0.359, 0.384, 0.820).

As for the crystal system: triclinic. The electronic total energy comes out at -15.313 eV for the cell shown.

[3]
## CsRbLaTa2 (PBE)

Data for crystalline CsRbLaTa2 at its relaxed geometry.

The structure belongs to space group P4/mmm (No. 123); the cell edges are 5.313, 5.313 and 6.794 Å and the angles 90.00°, 90.00° and 90.00°. The asymmetric unit holds Cs at (0.000, 0.000, 0.000), Rb at (0.500, 0.500, 0.000), La at (0.500, 0.500, 0.500) and Ta at (0.000, 0.500, 0.500).

The formation energy comes out at 1.81 eV/atom. As for the crystal system: tetragonal. The electronic total energy comes out at -21.418 eV for the cell shown.

[4]
## CsLaRe2Se (PBE)

Data for crystalline CsLaRe2Se at its relaxed geometry.

The structure belongs to space group P4/mmm (No. 123); the cell edges are 4.976, 4.976 and 6.108 Å and the angles 90.00°, 90.00° and 90.00°. The asymmetric unit holds Cs at (0.000, 0.000, 0.000), La at (0.500, 0.500, 0.500), Re at (0.000, 0.500, 0.000) and Se at (0.000, 0.000, 0.500).

As for the crystal system: tetragonal. The electronic total energy comes out at -22.146 eV for the cell shown.